# Rb2NbOs

Crystalline Rb2NbOs at its relaxed geometry (PBE-GGA, Alexandria).

Cell and atoms, written as CIF:
```
data_Rb2NbOs
_symmetry_space_group_name_H-M 'I -4 2 d'
_symmetry_Int_Tables_number 122
_symmetry_space_group_name_Hall 'I -4 2bw'
_cell_length_a 13.1662
_cell_length_b 13.1662
_cell_length_c 4.7104
_cell_angle_alpha 90.00
_cell_angle_beta 90.00
_cell_angle_gamma 90.00
loop_
_atom_site_label
_atom_site_type_symbol
_atom_site_fract_x
_atom_site_fract_y
_atom_site_fract_z
Rb1 Rb 0.0856 0.2500 0.1250
Nb1 Nb 0.0000 0.0000 0.5000
Os1 Os 0.0000 0.0000 0.0000
```

Output
Its calculated total energy is -4.340 eV/atom. The calculation puts the offset from the most stable computed form at 0.0000 eV/atom. The size of the total moment comes out at 4.12 Bohr magnetons per cell. Its energy of formation is 1468.2 meV per atom.


# BaCu3

Crystalline BaCu3 at its relaxed geometry (PBE-GGA, Alexandria).

Cell and atoms, written as CIF:
```
data_BaCu3
_symmetry_space_group_name_H-M 'P n m a'
_symmetry_Int_Tables_number 62
_symmetry_space_group_name_Hall '-P 2ac 2n'
_cell_length_a 7.7198
_cell_length_b 6.8376
_cell_length_c 6.2168
_cell_angle_alpha 90.00
_cell_angle_beta 90.00
_cell_angle_gamma 90.00
loop_
_atom_site_label
_atom_site_type_symbol
_atom_site_fract_x
_atom_site_fract_y
_atom_site_fract_z
Ba1 Ba 0.0279 0.2500 0.1242
Cu1 Cu 0.1413 0.0700 0.5768
Cu2 Cu 0.1466 0.7500 0.3402
```

Output
Its calculated total energy is -3.513 eV/atom. The size of the total moment comes out at 0.00 Bohr magnetons per cell. Its energy of formation is 39.8 meV per atom.


# SiAgPt3

Crystalline SiAgPt3 at its relaxed geometry (PBE-GGA, Alexandria).

Cell and atoms, written as CIF:
```
data_SiAgPt3
_symmetry_space_group_name_H-M 'P m -3 m'
_symmetry_Int_Tables_number 221
_symmetry_space_group_name_Hall '-P 4 2 3'
_cell_length_a 4.5259
_cell_length_b 4.5259
_cell_length_c 4.5259
_cell_angle_alpha 90.00
_cell_angle_beta 90.00
_cell_angle_gamma 90.00
loop_
_atom_site_label
_atom_site_type_symbol
_atom_site_fract_x
_atom_site_fract_y
_atom_site_fract_z
Si1 Si 0.0000 0.0000 0.0000
Ag1 Ag 0.5000 0.5000 0.5000
Pt1 Pt 0.0000 0.0000 0.5000
```

Output
Its calculated total energy is -5.144 eV/atom. The calculation puts the offset from the most stable computed form at 0.0000 eV/atom. The size of the total moment comes out at 0.00 Bohr magnetons per cell. Its formation energy from raw total energies is 0.1357 eV/atom.


# CuIrW2

Crystalline CuIrW2 at its relaxed geometry (PBE-GGA, Alexandria).

Cell and atoms, written as CIF:
```
data_CuIrW2
_symmetry_space_group_name_H-M 'C 1 2/m 1'
_symmetry_Int_Tables_number 12
_symmetry_space_group_name_Hall '-C 2y'
_cell_length_a 9.3538
_cell_length_b 2.8961
_cell_length_c 4.5368
_cell_angle_alpha 90.00
_cell_angle_beta 103.29
_cell_angle_gamma 90.00
loop_
_atom_site_label
_atom_site_type_symbol
_atom_site_fract_x
_atom_site_fract_y
_atom_site_fract_z
Cu1 Cu 0.0000 0.0000 0.0000
Ir1 Ir 0.0000 0.5000 0.5000
W1 W 0.2472 0.0000 0.7440
```

Output
Its calculated total energy is -9.527 eV/atom. The calculation puts the offset from the most stable computed form at 0.1580 eV/atom. The size of the total moment comes out at 0.00 Bohr magnetons per cell. Its energy of formation is 188.7 meV per atom.